# Y2NiS | Alexandria | PBE | relaxed
# * DOS at the Fermi energy: 2.82 states/eV/f.u.
# * formation energy from raw total energies: -1.216 eV per atom
# * total moment: 0.00 Bohr magnetons per cell
data_Y2NiS
_cell_length_a 3.847
_cell_length_b 22.214
_cell_length_c 3.950
_cell_angle_alpha 90.00
_cell_angle_beta 90.00
_cell_angle_gamma 90.00
_symmetry_space_group_name_H-M 'C m c m'
_symmetry_Int_Tables_number 63
_symmetry_space_group_name_Hall '-C 2c 2'
loop_
_atom_site_label
_atom_site_fract_x
_atom_site_fract_y
_atom_site_fract_z
Y1 0.000 0.067 0.250
Y2 0.000 0.315 0.250
Ni1 0.000 0.466 0.250
S1 0.000 0.192 0.250

---

# NaTlPbI4 | Alexandria | PBE | relaxed
# * DOS at the Fermi energy: 0.00 states/eV/f.u.
# * formation energy from raw total energies: -0.760 eV per atom
# * total moment: 0.00 Bohr magnetons per cell
data_NaTlPbI4
_cell_length_a 8.548
_cell_length_b 8.767
_cell_length_c 9.174
_cell_angle_alpha 90.00
_cell_angle_beta 104.85
_cell_angle_gamma 90.00
_symmetry_space_group_name_H-M 'P 1 21/m 1'
_symmetry_Int_Tables_number 11
loop_
_symmetry_equiv_pos_as_xyz
'x,y,z'
'-x,-y,-z'
'-x,y+1/2,-z'
'x,-y+1/2,z'
loop_
_atom_site_label
_atom_site_fract_x
_atom_site_fract_y
_atom_site_fract_z
Na1 0.220 0.250 0.173
Tl1 0.324 0.750 0.458
Pb1 0.312 0.750 0.954
I1 0.037 0.750 0.126
I2 0.039 0.750 0.652
I3 0.492 0.003 0.227

---

# CoAgMo | Alexandria | PBE | relaxed
# * DOS at the Fermi energy: 3.46 states/eV/f.u.
# * total moment: 5.18 Bohr magnetons per cell
# * ΔH_f (0 K): 791 meV per atom
data_CoAgMo
_cell_length_a 5.816
_cell_length_b 5.816
_cell_length_c 5.816
_cell_angle_alpha 90.00
_cell_angle_beta 90.00
_cell_angle_gamma 90.00
_symmetry_space_group_name_H-M 'F -4 3 m'
_symmetry_Int_Tables_number 216
_symmetry_space_group_name_Hall 'F -4 2 3'
loop_
_atom_site_label
_atom_site_fract_x
_atom_site_fract_y
_atom_site_fract_z
Co1 0.000 0.000 0.000
Ag1 0.250 0.250 0.250
Mo1 0.250 0.250 0.750

---

# InSi3Ni10 | Alexandria | PBE | relaxed
# * DOS at the Fermi energy: 11.45 states/eV/f.u.
# * formation energy from raw total energies: -0.254 eV per atom
# * total moment: 0.00 Bohr magnetons per cell
data_InSi3Ni10
_cell_length_a 11.250
_cell_length_b 11.250
_cell_length_c 11.250
_cell_angle_alpha 90.00
_cell_angle_beta 90.00
_cell_angle_gamma 90.00
_symmetry_space_group_name_H-M 'F m -3 m'
_symmetry_Int_Tables_number 225
_symmetry_space_group_name_Hall '-F 4 2 3'
loop_
_atom_site_label
_atom_site_fract_x
_atom_site_fract_y
_atom_site_fract_z
In1 0.250 0.250 0.250
Si1 0.000 0.000 0.231
Ni1 0.000 0.174 0.326
Ni2 0.118 0.118 0.118

---

# Ta2AgPt | Alexandria | PBE | relaxed
# * DOS at the Fermi energy: 5.41 states/eV/f.u.
# * total moment: 2.15 Bohr magnetons per cell
# * ΔH_f (0 K): 51 meV per atom
data_Ta2AgPt
_cell_length_a 4.037
_cell_length_b 4.037
_cell_length_c 8.474
_cell_angle_alpha 90.00
_cell_angle_beta 90.00
_cell_angle_gamma 90.00
_symmetry_space_group_name_H-M 'I -4 m 2'
_symmetry_Int_Tables_number 119
_symmetry_space_group_name_Hall 'I -4 -2'
loop_
_atom_site_label
_atom_site_fract_x
_atom_site_fract_y
_atom_site_fract_z
Ta1 0.000 0.000 0.000
Ta2 0.000 0.500 0.250
Ag1 0.000 0.500 0.750
Pt1 0.000 0.000 0.500

---

# PuTl2Cd | Alexandria | PBE | relaxed
# * DOS at the Fermi energy: 9.19 states/eV/f.u.
# * total moment: 6.12 Bohr magnetons per cell
# * ΔH_f (0 K): 38 meV per atom
data_PuTl2Cd
_cell_length_a 3.714
_cell_length_b 3.714
_cell_length_c 7.745
_cell_angle_alpha 90.00
_cell_angle_beta 90.00
_cell_angle_gamma 90.00
_symmetry_space_group_name_H-M 'P 4/m m m'
_symmetry_Int_Tables_number 123
_symmetry_space_group_name_Hall '-P 4 2'
loop_
_atom_site_label
_atom_site_fract_x
_atom_site_fract_y
_atom_site_fract_z
Pu1 0.000 0.000 0.000
Tl1 0.500 0.500 0.268
Cd1 0.000 0.000 0.500